# 1
LaTb2Mg | PBE | relaxed

a b c (Å): 3.4352 3.4352 36.7532
angles (deg): 90.00 90.00 120.00
Space group R-3m (No. 166, hexagonal axes)
One atom of each set of equivalent atoms:
La  0.0000  0.0000  0.0000
Tb  0.0000  0.0000  0.0932
Mg  0.0000  0.0000  0.5000

Results
E_form, eV/atom: 0.17
Density, g cm⁻³: 6.380
Total moment, μB/atom: 0.00
Relative energy among the computed polymorphs, kJ/mol of atoms: 18.7

=====

# 2
TbSmLu2 | PBE | relaxed

a b c (Å): 5.0120 5.0120 4.9348
angles (deg): 90.00 90.00 90.00
Space group P4/mmm (No. 123)
One atom of each set of equivalent atoms:
Tb  0.0000  0.0000  0.0000
Sm  0.5000  0.5000  0.0000
Lu  0.0000  0.5000  0.5000

Results
E_form, eV/atom: 0.03
Density, g cm⁻³: 8.830
Total moment, μB/atom: 0.00
Relative energy among the computed polymorphs, kJ/mol of atoms: 0.0

=====

# 3
DyCoGe2Rh | PBE | relaxed

a b c (Å): 4.0441 4.0441 10.3013
angles (deg): 90.00 90.00 90.00
Space group I-4m2 (No. 119)
One atom of each set of equivalent atoms:
Dy  0.0000  0.0000  0.0000
Co  0.0000  0.5000  0.2500
Ge  0.0000  0.0000  0.3765
Rh  0.0000  0.5000  0.7500

Results
E_form, eV/atom: -0.73
Density, g cm⁻³: 9.257
Total moment, μB/atom: 0.00

=====

# 4
PrYGa2 | PBE | relaxed

a b c (Å): 3.6525 3.6525 7.2992
angles (deg): 90.00 90.00 90.00
Space group P4/mmm (No. 123)
One atom of each set of equivalent atoms:
Pr  0.0000  0.0000  0.0000
Y  0.0000  0.0000  0.5000
Ga  0.5000  0.5000  0.2664

Results
E_form, eV/atom: -0.58
Density, g cm⁻³: 6.297
Total moment, μB/atom: 0.00

=====

# 5
Mg2H2Pb | PBE | relaxed

a b c (Å): 7.3721 7.3721 3.0414
angles (deg): 90.00 90.00 90.00
Space group P4/mbm (No. 127)
One atom of each set of equivalent atoms:
Mg  0.1337  0.3663  0.0000
H  0.1013  0.6013  0.5000
Pb  0.0000  0.0000  0.5000

Results
Density, g cm⁻³: 5.180
Total moment, μB/atom: 0.00
Relative energy among the computed polymorphs, kJ/mol of atoms: 40.3

=====

# 6
PmDyCuAu | PBE | relaxed

a b c (Å): 7.1905 7.1905 7.1905
angles (deg): 90.00 90.00 90.00
Space group F-43m (No. 216)
One atom of each set of equivalent atoms:
Pm  0.0000  0.0000  0.0000
Dy  0.0000  0.0000  0.5000
Cu  0.2500  0.2500  0.7500
Au  0.2500  0.2500  0.2500

Results
E_form, eV/atom: -0.50
Density, g cm⁻³: 10.148
Total moment, μB/atom: 0.00
Relative energy among the computed polymorphs, kJ/mol of atoms: 2.8

=====

# 7
CeBeGa | PBE | relaxed

a b c (Å): 3.0746 3.0746 11.2417
angles (deg): 90.00 90.00 90.00
Space group I4mm (No. 107)
One atom of each set of equivalent atoms:
Ce  0.0000  0.0000  0.0000
Be  0.0000  0.0000  0.6856
Ga  0.0000  0.0000  0.2908

Results
E_form, eV/atom: -0.04
Density, g cm⁻³: 6.839
Total moment, μB/atom: 0.15
Relative energy among the computed polymorphs, kJ/mol of atoms: 22.9

=====

# 8
NiSn3S | PBE | relaxed

a b c (Å): 4.9508 4.9508 4.9508
angles (deg): 90.00 90.00 90.00
Space group Pm-3m (No. 221)
One atom of each set of equivalent atoms:
Ni  0.0000  0.0000  0.0000
Sn  0.0000  0.0000  0.5000
S  0.5000  0.5000  0.5000

Results
ΔE_f (raw), kJ/mol of atoms: 3.5
Density, g cm⁻³: 6.115
Total moment, μB/atom: 0.00
Relative energy among the computed polymorphs, kJ/mol of atoms: 0.0